1.
VASP calculation (GGA-PBE) on a geometry-optimized Cd3Sn2 structure.

Properties
ΔE_f = 99 meV per atom
E above lowest polymorph = 0.303 eV per formula unit
Total DFT energy (no corrections) = -2.051 eV/atom
SG = C2/c, No. 15
Crystal system = monoclinic

```
Cd3Sn2
1.0
6.628 -2.701 0.000
6.628 2.701 0.000
-5.579 0.000 7.614
Cd Sn
6 4
direct
0.238 0.762 0.750
0.270 0.276 0.955
0.276 0.270 0.455
0.724 0.730 0.545
0.730 0.724 0.045
0.762 0.238 0.250
0.191 0.696 0.369
0.304 0.809 0.131
0.696 0.191 0.869
0.809 0.304 0.631
```

---

2.
VASP calculation (GGA-PBE) on a geometry-optimized Y7Ho2Mg2 structure.

Properties
ΔE_f = 176 meV per atom
E above lowest polymorph = 2.109 eV per formula unit
Total DFT energy (no corrections) = -5.060 eV/atom
SG = C2/m, No. 12
Crystal system = monoclinic

```
Y7Ho2Mg2
1.0
5.860 -5.603 0.000
5.860 5.603 0.000
-2.120 0.000 5.289
Y Ho Mg
7 2 2
direct
0.000 0.000 0.000
0.019 0.602 0.817
0.223 0.223 0.665
0.398 0.981 0.183
0.602 0.019 0.817
0.777 0.777 0.335
0.981 0.398 0.183
0.222 0.778 0.500
0.778 0.222 0.500
0.437 0.437 0.218
0.563 0.563 0.782
```